Cd2Sn2Pt | PBE | optimized geometry

POSCAR file:
```
Cd2Sn2Pt
1.0
7.2132 0.0000 0.0000
0.0000 7.2132 0.0000
0.0000 0.0000 4.5200
Cd Sn Pt
4 4 2
direct
0.1433 0.3567 0.0000
0.3567 0.8567 0.0000
0.6433 0.1433 0.0000
0.8567 0.6433 0.0000
0.1702 0.6702 0.5000
0.3298 0.1702 0.5000
0.6702 0.8298 0.5000
0.8298 0.3298 0.5000
0.0000 0.0000 0.0000
0.5000 0.5000 0.0000
```

Output
* energy relative to the lowest polymorph listed for this composition: 0.73 eV per formula unit
* N(E_F): 2.1 states/eV/f.u.
* ΔH_f (0 K): 0.092 eV per atom